Record 1
Computed, not measured: Ba2YFe after structural relaxation at the PBE level of DFT.

Computed properties:
Calculated total energy ... -3.96 eV/atom
Density of states at the Fermi level ... 8.2 states/eV/f.u.
Total moment ... 2.55 Bohr magnetons per cell

a b c (Å): 6.057 6.057 4.090
angles (deg): 90.00 90.00 100.26
Each line ends with the local moment (μB).
Positions (direct):
Ba 0.000 0.000 0.000  -0.07
Ba 0.500 0.500 0.000  -0.07
Fe 0.500 0.000 0.500  3.09
Y 0.000 0.500 0.500  -0.09



Record 2
Computed, not measured: BaYFe2 after structural relaxation at the PBE level of DFT.

Computed properties:
Calculated total energy ... -5.96 eV/atom
Density of states at the Fermi level ... 3.1 states/eV/f.u.
Total moment ... 4.01 Bohr magnetons per cell

a b c (Å): 7.117 7.117 7.117
angles (deg): 150.22 143.03 48.18
Each line ends with the local moment (μB).
Positions (direct):
Ba 0.217 0.717 0.500  -0.04
Fe 0.956 0.956 0.000  2.16
Fe 0.847 0.347 0.500  2.28
Y 0.480 0.480 0.000  -0.29



Record 3
Computed, not measured: BaYFe2 after structural relaxation at the PBE level of DFT.

Computed properties:
Calculated total energy ... -5.92 eV/atom
Density of states at the Fermi level ... 6.8 states/eV/f.u.
Total moment ... 4.29 Bohr magnetons per cell

a b c (Å): 3.783 3.824 8.116
angles (deg): 61.96 90.00 90.00
Each line ends with the local moment (μB).
Positions (direct):
Ba 0.500 0.750 0.750  -0.08
Fe 0.000 0.910 0.089  2.48
Fe 0.000 0.590 0.411  2.48
Y 0.500 0.250 0.250  -0.36



Record 4
Computed, not measured: Ba2YFe after structural relaxation at the PBE level of DFT.

Computed properties:
Calculated total energy ... -4.24 eV/atom
Density of states at the Fermi level ... 6.4 states/eV/f.u.
Total moment ... 1.32 Bohr magnetons per cell

a b c (Å): 7.138 7.138 7.138
angles (deg): 148.25 127.38 62.78
Each line ends with the local moment (μB).
Positions (direct):
Ba 0.006 0.006 0.000  -0.05
Ba 0.691 0.191 0.500  -0.09
Fe 0.479 0.479 0.000  2.35
Y 0.324 0.824 0.500  -0.37



Record 5
Computed, not measured: BaY2Fe after structural relaxation at the PBE level of DFT.

Computed properties:
Calculated total energy ... -5.52 eV/atom
Density of states at the Fermi level ... 5.6 states/eV/f.u.
Total moment ... 1.97 Bohr magnetons per cell

a b c (Å): 3.880 3.880 8.533
angles (deg): 90.00 90.00 90.00
Each line ends with the local moment (μB).
Positions (direct):
Ba 0.000 0.000 0.543  -0.03
Fe 0.500 0.500 0.829  2.47
Y 0.000 0.000 0.943  -0.32
Y 0.500 0.500 0.186  0.01



Record 6
Computed, not measured: BaYFe2 after structural relaxation at the PBE level of DFT.

Computed properties:
Calculated total energy ... -5.51 eV/atom
Density of states at the Fermi level ... 5.9 states/eV/f.u.
Total moment ... 4.24 Bohr magnetons per cell

a b c (Å): 5.830 5.830 5.830
angles (deg): 136.18 136.18 63.70
Each line ends with the local moment (μB).
Positions (direct):
Ba 0.750 0.250 0.500  -0.20
Fe 0.000 0.000 0.000  2.69
Fe 0.250 0.750 0.500  2.60
Y 0.500 0.500 0.000  -0.41



Record 7
Computed, not measured: BaYFe2 after structural relaxation at the PBE level of DFT.

Computed properties:
Calculated total energy ... -5.94 eV/atom
Density of states at the Fermi level ... 4.7 states/eV/f.u.
Total moment ... 5.26 Bohr magnetons per cell

a b c (Å): 3.411 3.411 8.660
angles (deg): 90.00 90.00 90.00
Each line ends with the local moment (μB).
Positions (direct):
Ba 0.500 0.500 0.812  -0.03
Fe 0.000 0.000 0.092  2.69
Fe 0.500 0.500 0.190  2.67
Y 0.000 0.000 0.406  -0.11



Record 8
Computed, not measured: BaY2Fe after structural relaxation at the PBE level of DFT.

Computed properties:
Calculated total energy ... -5.58 eV/atom
Density of states at the Fermi level ... 3.7 states/eV/f.u.
Total moment ... 0.63 Bohr magnetons per cell

a b c (Å): 3.981 3.981 9.982
angles (deg): 78.91 78.91 59.54
Each line ends with the local moment (μB).
Positions (direct):
Ba 0.750 0.750 0.750  0.01
Fe 0.250 0.250 0.250  1.08
Y 0.966 0.966 0.100  -0.14
Y 0.534 0.534 0.400  -0.14



Record 9
Computed, not measured: Ba2YFe after structural relaxation at the PBE level of DFT.

Computed properties:
Calculated total energy ... -3.97 eV/atom
Density of states at the Fermi level ... 7.8 states/eV/f.u.
Total moment ... 1.80 Bohr magnetons per cell

a b c (Å): 5.276 5.276 5.150
angles (deg): 90.00 90.00 90.00
Each line ends with the local moment (μB).
Positions (direct):
Ba 0.000 0.000 0.000  -0.13
Ba 0.500 0.500 0.000  -0.13
Fe 0.500 0.000 0.500  3.00
Y 0.000 0.500 0.500  -0.31



Record 10
Computed, not measured: Ba2YFe after structural relaxation at the PBE level of DFT.

Computed properties:
Calculated total energy ... -3.69 eV/atom
Density of states at the Fermi level ... 8.7 states/eV/f.u.
Total moment ... 0.00 Bohr magnetons per cell

a b c (Å): 5.675 5.675 5.675
angles (deg): 60.00 60.00 60.00
Positions (direct):
Y 0.500 0.500 0.500
Ba 0.250 0.250 0.250
Ba 0.750 0.750 0.750
Fe 0.000 0.000 0.000



Record 11
Computed, not measured: BaYFe2 after structural relaxation at the PBE level of DFT.

Computed properties:
Calculated total energy ... -5.66 eV/atom
Density of states at the Fermi level ... 5.6 states/eV/f.u.
Total moment ... 4.00 Bohr magnetons per cell

a b c (Å): 5.142 5.142 3.580
angles (deg): 90.00 90.00 89.98
Each line ends with the local moment (μB).
Positions (direct):
Ba 0.000 0.500 0.500  -0.17
Fe 0.000 0.000 0.000  2.57
Fe 0.500 0.500 0.000  2.57
Y 0.500 0.000 0.500  -0.40



Record 12
Computed, not measured: BaY2Fe after structural relaxation at the PBE level of DFT.

Computed properties:
Calculated total energy ... -5.49 eV/atom
Density of states at the Fermi level ... 4.5 states/eV/f.u.
Total moment ... 0.35 Bohr magnetons per cell

a b c (Å): 5.205 5.205 7.881
angles (deg): 71.67 71.67 41.21
Each line ends with the local moment (μB).
Positions (direct):
Ba 0.586 0.586 0.459  -0.04
Fe 0.225 0.225 0.093  1.09
Y 0.942 0.942 0.114  -0.19
Y 0.747 0.747 0.834  -0.17



Record 13
Computed, not measured: Ba2YFe after structural relaxation at the PBE level of DFT.

Computed properties:
Calculated total energy ... -4.09 eV/atom
Density of states at the Fermi level ... 7.8 states/eV/f.u.
Total moment ... 3.34 Bohr magnetons per cell

a b c (Å): 3.875 3.875 9.942
angles (deg): 90.00 90.00 90.00
Each line ends with the local moment (μB).
Positions (direct):
Ba 0.000 0.000 0.052  -0.08
Ba 0.000 0.000 0.448  -0.08
Fe 0.500 0.500 0.250  2.87
Y 0.500 0.500 0.750  0.39



Record 14
Computed, not measured: BaY2Fe after structural relaxation at the PBE level of DFT.

Computed properties:
Calculated total energy ... -5.22 eV/atom
Density of states at the Fermi level ... 5.3 states/eV/f.u.
Total moment ... 1.95 Bohr magnetons per cell

a b c (Å): 4.822 4.822 5.226
angles (deg): 90.00 90.00 90.05
Each line ends with the local moment (μB).
Positions (direct):
Ba 0.500 0.000 0.500  -0.09
Fe 0.000 0.500 0.500  2.85
Y 0.000 0.000 0.000  -0.20
Y 0.500 0.500 0.000  -0.20



Record 15
Computed, not measured: Ba2Y2Fe after structural relaxation at the PBE level of DFT.

Computed properties:
Calculated total energy ... -4.29 eV/atom
Density of states at the Fermi level ... 10.9 states/eV/f.u.
Total moment ... 2.39 Bohr magnetons per cell

a b c (Å): 4.403 4.403 11.159
angles (deg): 78.62 78.62 90.00
Each line ends with the local moment (μB).
Positions (direct):
Y 0.750 0.250 0.500  0.01
Y 0.250 0.750 0.500  0.01
Ba 0.413 0.413 0.175  -0.11
Ba 0.587 0.587 0.825  -0.11
Fe 0.000 0.000 0.000  2.98



Record 16
Computed, not measured: Ba2YFe after structural relaxation at the PBE level of DFT.

Computed properties:
Calculated total energy ... -3.96 eV/atom
Density of states at the Fermi level ... 8.7 states/eV/f.u.
Total moment ... 1.42 Bohr magnetons per cell

a b c (Å): 6.688 6.688 6.688
angles (deg): 136.78 136.78 62.78
Each line ends with the local moment (μB).
Positions (direct):
Ba 0.000 0.000 0.000  -0.14
Ba 0.500 0.500 0.000  -0.14
Fe 0.250 0.750 0.500  2.92
Y 0.750 0.250 0.500  -0.40



Record 17
Computed, not measured: BaYFe2 after structural relaxation at the PBE level of DFT.

Computed properties:
Calculated total energy ... -5.88 eV/atom
Density of states at the Fermi level ... 5.1 states/eV/f.u.
Total moment ... 0.00 Bohr magnetons per cell

a b c (Å): 5.321 5.321 7.407
angles (deg): 123.18 123.18 41.93
Positions (direct):
Ba 0.250 0.250 0.250
Fe 0.989 0.989 0.680
Fe 0.511 0.511 0.820
Y 0.750 0.750 0.750



Record 18
Computed, not measured: BaY2Fe after structural relaxation at the PBE level of DFT.

Computed properties:
Calculated total energy ... -5.15 eV/atom
Density of states at the Fermi level ... 8.5 states/eV/f.u.
Total moment ... 2.03 Bohr magnetons per cell

a b c (Å): 5.553 5.553 5.553
angles (deg): 60.00 60.00 60.00
Each line ends with the local moment (μB).
Positions (direct):
Ba 0.500 0.500 0.500  -0.05
Fe 0.750 0.750 0.750  2.96
Y 0.000 0.000 0.000  -0.29
Y 0.250 0.250 0.250  -0.18



Record 19
Computed, not measured: Ba2YFe after structural relaxation at the PBE level of DFT.

Computed properties:
Calculated total energy ... -4.00 eV/atom
Density of states at the Fermi level ... 9.1 states/eV/f.u.
Total moment ... 2.95 Bohr magnetons per cell

a b c (Å): 11.538 11.538 11.538
angles (deg): 19.45 19.45 19.45
Each line ends with the local moment (μB).
Positions (direct):
Ba 0.984 0.984 0.984  -0.10
Ba 0.516 0.516 0.516  -0.10
Fe 0.250 0.250 0.250  2.77
Y 0.750 0.750 0.750  0.25



Record 20
Computed, not measured: BaYFe2 after structural relaxation at the PBE level of DFT.

Computed properties:
Calculated total energy ... -5.96 eV/atom
Density of states at the Fermi level ... 4.2 states/eV/f.u.
Total moment ... 0.00 Bohr magnetons per cell

a b c (Å): 3.828 4.422 6.501
angles (deg): 70.12 90.00 90.00
Positions (direct):
Ba 0.500 0.778 0.819
Fe 0.000 0.144 0.088
Fe 0.500 0.069 0.238
Y 0.000 0.510 0.355